Below is a relaxed BAsIrBr2 crystal, with properties calculated at the GGA-PBEsol level.

The structure in extended XYZ format:
```
5
Lattice="4.237 0.000 0.000 0.000 4.547 0.000 0.000 0.000 4.547" Properties=species:S:1:pos:R:3 pbc="T T T"
As 2.119 2.273 2.273
Ir 2.119 0.000 0.000
B 0.000 0.000 0.000
Br 0.000 0.000 2.273
Br 0.000 2.273 0.000
```

symmetry	P4/mmm (123)
total moment	0.0	μB per formula unit
formation energy without anion corrections	541	kJ/mol of formula units